# 1
Density functional theory data (PBE) for a relaxed KBiAu2 crystal.

The value obtained for the final energy is -3.03 eV per atom.

It has space group I4_1/amd (No. 141, origin choice 2), with a = 5.5580 Å, b = 5.5580 Å, c = 19.2728 Å, α = 90.00°, β = 90.00° and γ = 90.00°. The distinct sites, in fractional coordinates, are K at (0.0000, 0.2500, 0.3750), Bi at (0.0000, 0.2500, 0.8750) and Au at (0.0000, 0.0000, 0.0000).

# 2
Density functional theory data (PBE) for a relaxed MnZnFe2 crystal.

The value obtained for the final energy is -6.81 eV per atom.

It has space group P4/mmm (No. 123), with a = 2.5423 Å, b = 2.5423 Å, c = 7.2880 Å, α = 90.00°, β = 90.00° and γ = 90.00°. The distinct sites, in fractional coordinates, are Mn at (0.0000, 0.0000, 0.0000), Zn at (0.0000, 0.0000, 0.5000) and Fe at (0.5000, 0.5000, 0.2362).

# 3
Density functional theory data (PBE) for a relaxed TaGa2Ir crystal.

The value obtained for the final energy is -6.73 eV per atom.

It has space group Fm-3m (No. 225), with a = 6.2921 Å, b = 6.2921 Å, c = 6.2921 Å, α = 90.00°, β = 90.00° and γ = 90.00°. The distinct sites, in fractional coordinates, are Ta at (0.0000, 0.0000, 0.0000), Ga at (0.2500, 0.2500, 0.2500) and Ir at (0.0000, 0.0000, 0.5000).

# 4
Density functional theory data (PBE) for a relaxed SrNd4Ir4 crystal.

The value obtained for the final energy is -6.68 eV per atom.

It has space group P4_2/n (No. 86, origin choice 2), with a = 9.3262 Å, b = 9.3262 Å, c = 5.7761 Å, α = 90.00°, β = 90.00° and γ = 90.00°. The distinct sites, in fractional coordinates, are Sr at (0.2500, 0.2500, 0.2500), Nd at (0.0839, 0.6527, 0.1390) and Ir at (0.0435, 0.6094, 0.6385).

# 5
Density functional theory data (PBE) for a relaxed CrAgTe2 crystal.

The value obtained for the final energy is -4.79 eV per atom.

It has space group R-3m (No. 166, hexagonal axes), with a = 4.0384 Å, b = 4.0384 Å, c = 24.6147 Å, α = 90.00°, β = 90.00° and γ = 120.00°. The distinct sites, in fractional coordinates, are Cr at (0.0000, 0.0000, 0.0000), Ag at (0.0000, 0.0000, 0.5000) and Te at (0.0000, 0.0000, 0.3916).

# 6
Density functional theory data (PBE) for a relaxed Nb2PdPt6 crystal.

For the distance to the lowest polymorph of the same formula, the calculation gives 215 meV per atom.

It has space group Immm (No. 71), with a = 4.4577 Å, b = 5.4637 Å, c = 12.6500 Å, α = 90.00°, β = 90.00° and γ = 90.00°. The distinct sites, in fractional coordinates, are Nb at (0.0000, 0.0000, 0.1730), Pd at (0.0000, 0.5000, 0.0000), Pt at (0.0000, 0.2485, 0.3926) and Pt at (0.0000, 0.5000, 0.2065).